## Ce2Be4CoSi3 (PBE)

Data for a relaxed Ce2Be4CoSi3 crystal.

Cell and atoms, written as CIF:
```
data_Ce2Be4CoSi3
_chemical_formula_sum 'Ce2 Be4 Co1 Si3'
_symmetry_space_group_name_H-M 'P -4 m 2'
_symmetry_Int_Tables_number 115
_symmetry_space_group_name_Hall 'P -4 -2'
_cell_length_a 3.901
_cell_length_b 3.901
_cell_length_c 9.440
_cell_angle_alpha 90.00
_cell_angle_beta 90.00
_cell_angle_gamma 90.00
loop_
_atom_site_label
_atom_site_fract_x
_atom_site_fract_y
_atom_site_fract_z
_atom_site_occupancy
Ce1 0.000 0.500 0.245 1
Be1 0.000 0.000 0.500 1
Be2 0.000 0.500 0.879 1
Be3 0.500 0.500 0.500 1
Co1 0.500 0.500 0.000 1
Si1 0.000 0.000 0.000 1
Si2 0.000 0.500 0.633 1
```

ΔE_f (raw) ... -0.41 eV per atom
V ... 14.4 Å³/atom
Crystal system ... tetragonal